(1)
# YMnBi3 | the Alexandria database | PBE-GGA | optimized geometry
data_YMnBi3
_chemical_formula_sum 'Y1 Mn1 Bi3'
_symmetry_space_group_name_H-M 'P m -3 m'
_symmetry_Int_Tables_number 221
_symmetry_space_group_name_Hall '-P 4 2 3'
_cell_length_a 5.859
_cell_length_b 5.859
_cell_length_c 5.859
_cell_angle_alpha 90.00
_cell_angle_beta 90.00
_cell_angle_gamma 90.00
loop_
_atom_site_label
_atom_site_type_symbol
_atom_site_fract_x
_atom_site_fract_y
_atom_site_fract_z
Y1 Y 0.000 0.000 0.000
Mn1 Mn 0.500 0.500 0.500
Bi1 Bi 0.000 0.000 0.500
# Polymorph energy (0 for the lowest one) ... 377 meV/atom
# Crystal system ... cubic
# ΔE_f ... 3.57 eV per formula unit



(2)
# TbSmSc2As4 | the Alexandria database | PBE-GGA | optimized geometry
data_TbSmSc2As4
_chemical_formula_sum 'Tb1 Sm1 Sc2 As4'
_symmetry_space_group_name_H-M 'P 1 2/m 1'
_symmetry_Int_Tables_number 10
_cell_length_a 6.965
_cell_length_b 4.040
_cell_length_c 6.992
_cell_angle_alpha 90.00
_cell_angle_beta 109.56
_cell_angle_gamma 90.00
loop_
_symmetry_equiv_pos_as_xyz
'x,y,z'
'-x,-y,-z'
'-x,y,-z'
'x,-y,z'
loop_
_atom_site_label
_atom_site_type_symbol
_atom_site_fract_x
_atom_site_fract_y
_atom_site_fract_z
Tb1 Tb 0.000 0.000 0.000
Sm1 Sm 0.000 0.500 0.500
Sc1 Sc 0.500 0.000 0.500
Sc2 Sc 0.500 0.500 0.000
As1 As 0.268 0.500 0.254
As2 As 0.269 0.000 0.759
# Crystal system ... monoclinic
# ΔE_f ... -11.49 eV per formula unit



(3)
# Fe2SbPb | the Alexandria database | PBE-GGA | optimized geometry
data_Fe2SbPb
_chemical_formula_sum 'Fe6 Sb3 Pb3'
_symmetry_space_group_name_H-M 'R 3 m'
_symmetry_Int_Tables_number 160
_symmetry_space_group_name_Hall 'R 3 -2"'
_cell_length_a 3.1971
_cell_length_b 3.1971
_cell_length_c 28.5268
_cell_angle_alpha 90.00
_cell_angle_beta 90.00
_cell_angle_gamma 120.00
loop_
_atom_site_label
_atom_site_type_symbol
_atom_site_fract_x
_atom_site_fract_y
_atom_site_fract_z
Fe1 Fe 0.0000 0.0000 0.0000
Fe2 Fe 0.0000 0.0000 0.2783
Sb1 Sb 0.0000 0.0000 0.7347
Pb1 Pb 0.0000 0.0000 0.5301
# Polymorph energy (0 for the lowest one) ... 191 meV/atom
# Formation energy without anion corrections ... 0.39 eV/atom
# Crystal system ... trigonal



(4)
# PaHgP2S8 | the Alexandria database | PBE-GGA | optimized geometry
data_PaHgP2S8
_chemical_formula_sum 'Pa3 Hg3 P6 S24'
_symmetry_space_group_name_H-M 'R -3'
_symmetry_Int_Tables_number 148
_symmetry_space_group_name_Hall '-R 3'
_cell_length_a 6.0893
_cell_length_b 6.0893
_cell_length_c 29.1997
_cell_angle_alpha 90.00
_cell_angle_beta 90.00
_cell_angle_gamma 120.00
loop_
_atom_site_label
_atom_site_type_symbol
_atom_site_fract_x
_atom_site_fract_y
_atom_site_fract_z
Pa1 Pa 0.0000 0.0000 0.0000
Hg1 Hg 0.0000 0.0000 0.5000
P1 P 0.0000 0.0000 0.2548
S1 S 0.0000 0.0000 0.1871
S2 S 0.0024 0.3538 0.9457
# Formation energy without anion corrections ... -0.38 eV/atom
# Crystal system ... trigonal



(5)
# Mg3CrP | the Alexandria database | PBE-GGA | optimized geometry
data_Mg3CrP
_chemical_formula_sum 'Mg3 Cr1 P1'
_symmetry_space_group_name_H-M 'P m -3 m'
_symmetry_Int_Tables_number 221
_symmetry_space_group_name_Hall '-P 4 2 3'
_cell_length_a 4.912
_cell_length_b 4.912
_cell_length_c 4.912
_cell_angle_alpha 90.00
_cell_angle_beta 90.00
_cell_angle_gamma 90.00
loop_
_atom_site_label
_atom_site_type_symbol
_atom_site_fract_x
_atom_site_fract_y
_atom_site_fract_z
Mg1 Mg 0.000 0.000 0.500
Cr1 Cr 0.500 0.500 0.500
P1 P 0.000 0.000 0.000
# Polymorph energy (0 for the lowest one) ... 0 meV/atom
# Crystal system ... cubic
# ΔE_f ... 1.71 eV per formula unit



(6)
# Tb2Er3Th | the Alexandria database | PBE-GGA | optimized geometry
data_Tb2Er3Th
_chemical_formula_sum 'Tb8 Er12 Th4'
_symmetry_space_group_name_H-M 'C 1 2/m 1'
_symmetry_Int_Tables_number 12
_cell_length_a 11.196
_cell_length_b 5.016
_cell_length_c 14.156
_cell_angle_alpha 90.00
_cell_angle_beta 108.39
_cell_angle_gamma 90.00
loop_
_symmetry_equiv_pos_as_xyz
'x,y,z'
'-x,-y,-z'
'-x,y,-z'
'x,-y,z'
'x+1/2,y+1/2,z'
'-x+1/2,-y+1/2,-z'
'-x+1/2,y+1/2,-z'
'x+1/2,-y+1/2,z'
loop_
_atom_site_label
_atom_site_type_symbol
_atom_site_fract_x
_atom_site_fract_y
_atom_site_fract_z
Tb1 Tb 0.002 0.000 0.373
Tb2 Tb 0.003 0.000 0.128
Er1 Er 0.166 0.500 0.043
Er2 Er 0.167 0.500 0.791
Er3 Er 0.170 0.500 0.543
Th1 Th 0.167 0.500 0.291
# Polymorph energy (0 for the lowest one) ... 0 meV/atom
# Crystal system ... monoclinic
# ΔE_f ... 0.21 eV per formula unit



(7)
# LiZn2Ga | the Alexandria database | PBE-GGA | optimized geometry
data_LiZn2Ga
_chemical_formula_sum 'Li3 Zn6 Ga3'
_symmetry_space_group_name_H-M 'R 3 m'
_symmetry_Int_Tables_number 160
_symmetry_space_group_name_Hall 'R 3 -2"'
_cell_length_a 2.8839
_cell_length_b 2.8839
_cell_length_c 26.8045
_cell_angle_alpha 90.00
_cell_angle_beta 90.00
_cell_angle_gamma 120.00
loop_
_atom_site_label
_atom_site_type_symbol
_atom_site_fract_x
_atom_site_fract_y
_atom_site_fract_z
Li1 Li 0.0000 0.0000 0.0000
Zn1 Zn 0.0000 0.0000 0.4145
Zn2 Zn 0.0000 0.0000 0.5864
Ga1 Ga 0.0000 0.0000 0.8339
# Crystal system ... trigonal
# ΔE_f ... -0.19 eV per formula unit



(8)
# ErTmCoPd | the Alexandria database | PBE-GGA | optimized geometry
data_ErTmCoPd
_chemical_formula_sum 'Er1 Tm1 Co1 Pd1'
_symmetry_space_group_name_H-M 'P 4 m m'
_symmetry_Int_Tables_number 99
_cell_length_a 3.363
_cell_length_b 3.363
_cell_length_c 6.824
_cell_angle_alpha 90.00
_cell_angle_beta 90.00
_cell_angle_gamma 90.00
loop_
_symmetry_equiv_pos_as_xyz
'x,y,z'
'-y,x,z'
'-x,-y,z'
'y,-x,z'
'-x,y,z'
'y,x,z'
'x,-y,z'
'-y,-x,z'
loop_
_atom_site_label
_atom_site_type_symbol
_atom_site_fract_x
_atom_site_fract_y
_atom_site_fract_z
Er1 Er 0.000 0.000 0.000
Tm1 Tm 0.000 0.000 0.527
Co1 Co 0.500 0.500 0.762
Pd1 Pd 0.500 0.500 0.266
# Polymorph energy (0 for the lowest one) ... 0 meV/atom
# Crystal system ... tetragonal
# ΔE_f ... -2.34 eV per formula unit



(9)
# CsLiZn2 | the Alexandria database | PBE-GGA | optimized geometry
data_CsLiZn2
_chemical_formula_sum 'Cs4 Li4 Zn8'
_symmetry_space_group_name_H-M 'F m -3 m'
_symmetry_Int_Tables_number 225
_symmetry_space_group_name_Hall '-F 4 2 3'
_cell_length_a 8.137
_cell_length_b 8.137
_cell_length_c 8.137
_cell_angle_alpha 90.00
_cell_angle_beta 90.00
_cell_angle_gamma 90.00
loop_
_atom_site_label
_atom_site_type_symbol
_atom_site_fract_x
_atom_site_fract_y
_atom_site_fract_z
Cs1 Cs 0.000 0.000 0.000
Li1 Li 0.000 0.000 0.500
Zn1 Zn 0.250 0.250 0.250
# Crystal system ... cubic
# ΔE_f ... 1.26 eV per formula unit



(10)
# AcNpRu2 | the Alexandria database | PBE-GGA | optimized geometry
data_AcNpRu2
_chemical_formula_sum 'Ac4 Np4 Ru8'
_symmetry_space_group_name_H-M 'P 1 21/c 1'
_symmetry_Int_Tables_number 14
_cell_length_a 7.498
_cell_length_b 5.782
_cell_length_c 8.844
_cell_angle_alpha 90.00
_cell_angle_beta 97.25
_cell_angle_gamma 90.00
loop_
_symmetry_equiv_pos_as_xyz
'x,y,z'
'-x,-y,-z'
'-x,y+1/2,-z+1/2'
'x,-y+1/2,z+1/2'
loop_
_atom_site_label
_atom_site_type_symbol
_atom_site_fract_x
_atom_site_fract_y
_atom_site_fract_z
Ac1 Ac 0.141 0.135 0.335
Np1 Np 0.367 0.670 0.173
Ru1 Ru 0.180 0.628 0.486
Ru2 Ru 0.458 0.185 0.093
# Polymorph energy (0 for the lowest one) ... 107 meV/atom
# Crystal system ... monoclinic
# ΔE_f ... -0.26 eV per formula unit



(11)
# NpScCl6 | the Alexandria database | PBE-GGA | optimized geometry
data_NpScCl6
_chemical_formula_sum 'Np2 Sc2 Cl12'
_symmetry_space_group_name_H-M 'C 1 2/m 1'
_symmetry_Int_Tables_number 12
_cell_length_a 6.604
_cell_length_b 12.300
_cell_length_c 6.487
_cell_angle_alpha 90.00
_cell_angle_beta 106.36
_cell_angle_gamma 90.00
loop_
_symmetry_equiv_pos_as_xyz
'x,y,z'
'-x,-y,-z'
'-x,y,-z'
'x,-y,z'
'x+1/2,y+1/2,z'
'-x+1/2,-y+1/2,-z'
'-x+1/2,y+1/2,-z'
'x+1/2,-y+1/2,z'
loop_
_atom_site_label
_atom_site_type_symbol
_atom_site_fract_x
_atom_site_fract_y
_atom_site_fract_z
Np1 Np 0.000 0.000 0.000
Sc1 Sc 0.000 0.500 0.500
Cl1 Cl 0.228 0.358 0.734
Cl2 Cl 0.241 0.500 0.261
# Formation energy without anion corrections ... -1.88 eV/atom
# Crystal system ... monoclinic



(12)
# Pr4GaCu2 | the Alexandria database | PBE-GGA | optimized geometry
data_Pr4GaCu2
_chemical_formula_sum 'Pr12 Ga3 Cu6'
_symmetry_space_group_name_H-M 'R -3 m'
_symmetry_Int_Tables_number 166
_symmetry_space_group_name_Hall '-R 3 2"'
_cell_length_a 5.0787
_cell_length_b 5.0787
_cell_length_c 26.0763
_cell_angle_alpha 90.00
_cell_angle_beta 90.00
_cell_angle_gamma 120.00
loop_
_atom_site_label
_atom_site_type_symbol
_atom_site_fract_x
_atom_site_fract_y
_atom_site_fract_z
Pr1 Pr 0.0000 0.0000 0.1221
Pr2 Pr 0.0000 0.0000 0.2922
Ga1 Ga 0.0000 0.0000 0.5000
Cu1 Cu 0.0000 0.0000 0.4055
# Polymorph energy (0 for the lowest one) ... 24 meV/atom
# Crystal system ... trigonal
# ΔE_f ... -0.87 eV per formula unit



Which formula does entry 4 have?
PaHgP2S8